Entry 1:
This record from the Alexandria database describes a relaxed Ti7In2Pb2 crystal. The functional is GGA-PBE.

POSCAR file:
```
Ti7In2Pb2
1.0
0.523 6.821 -0.185
-1.092 -1.422 -4.953
-6.776 -0.952 -0.122
Ti In Pb
7 2 2
Cartesian
0.000 0.000 0.000 Ti
-6.400 1.398 -1.560 Ti
-3.970 1.850 -3.734 Ti
-3.375 2.598 -1.526 Ti
-0.945 3.050 -3.700 Ti
-2.962 4.943 -3.799 Ti
-4.383 -0.496 -1.461 Ti
-1.771 0.439 -2.537 In
-5.574 4.008 -2.723 In
-5.840 -0.165 -4.168 Pb
-1.505 4.613 -1.092 Pb
```

---

Entry 2:
This record from the Alexandria database describes a relaxed TiInPb3 crystal. The functional is GGA-PBE.

POSCAR file:
```
TiInPb3
1.0
-3.741 2.751 2.854
-3.456 -0.343 -4.200
-1.940 -4.692 1.980
In Ti Pb
1 1 3
Cartesian
-4.568 -1.142 0.317 In
0.000 0.000 0.000 Ti
-0.970 -2.346 0.990 Pb
-1.728 -0.171 -2.100 Pb
-1.870 1.375 1.427 Pb
```

Output
The relative energy among the computed polymorphs is 0.000 eV/atom.

---

Entry 3:
This record from the Alexandria database describes a relaxed Ti2In2Pb crystal. The functional is GGA-PBE.

POSCAR file:
```
Ti2In2Pb
1.0
-2.257 -3.146 -7.810
-5.911 -5.166 3.789
-2.100 2.198 -0.279
In Ti Pb
4 4 2
Cartesian
-5.582 -5.256 0.601 In
-2.304 -2.223 -0.175 In
-5.864 -6.089 -3.846 In
-2.585 -3.056 -4.622 In
-5.345 -3.697 -5.603 Ti
-4.922 -2.417 1.304 Ti
-2.588 -0.701 -2.742 Ti
-7.679 -5.413 -1.557 Ti
-4.084 -4.156 -2.010 Pb
0.000 0.000 0.000 Pb
```

Output
The relative energy among the computed polymorphs is 0.074 eV/atom.

---

Entry 4:
This record from the Alexandria database describes a relaxed Ti2InPb crystal. The functional is GGA-PBE.

POSCAR file:
```
Ti2InPb
1.0
-3.034 -0.930 0.049
-0.957 -2.180 2.098
-3.357 5.913 7.010
Ti Pb In
2 1 1
Cartesian
-1.842 0.719 2.306 Ti
-2.845 4.156 5.419 Ti
-6.017 3.838 8.441 Pb
-3.674 1.403 4.581 In
```

---

Entry 5:
This record from the Alexandria database describes a relaxed Ti6In2Pb crystal. The functional is GGA-PBE.

POSCAR file:
```
Ti6In2Pb
1.0
-3.272 -3.307 -1.179
2.982 -6.878 1.244
-0.247 -5.210 5.526
In Pb Ti
2 1 6
Cartesian
-0.865 -10.873 3.583 In
0.327 -4.522 2.008 In
0.000 0.000 0.000 Pb
-1.776 -6.299 3.056 Ti
-0.074 -7.178 0.798 Ti
1.449 -10.211 5.070 Ti
-0.464 -8.217 4.792 Ti
1.238 -9.097 2.535 Ti
-1.987 -5.184 0.521 Ti
```

Output
The relative energy among the computed polymorphs is 0.000 eV/atom.

---

Entry 6:
This record from the Alexandria database describes a relaxed Ti5InPb2 crystal. The functional is GGA-PBE.

POSCAR file:
```
Ti5InPb2
1.0
-4.178 -2.298 1.422
-1.174 -0.816 -4.767
5.732 -3.887 1.851
Ti Pb In
5 2 1
Cartesian
0.150 -1.721 -2.340 Ti
-1.352 -2.462 0.754 Ti
0.230 -5.280 0.847 Ti
-2.676 -1.557 -1.672 Ti
1.732 -4.539 -2.247 Ti
1.587 -2.828 0.093 Pb
-1.208 -4.173 -1.586 Pb
0.000 0.000 0.000 In
```

---

Entry 7:
This record from the Alexandria database describes a relaxed Ti2InPb crystal. The functional is GGA-PBE.

POSCAR file:
```
Ti2InPb
1.0
-1.765 1.081 7.376
7.166 -1.842 1.985
3.507 2.506 4.450
In Ti Pb
2 4 2
Cartesian
2.701 -0.381 4.680 In
6.687 0.142 5.557 In
7.353 1.215 11.527 Ti
5.134 -0.389 3.278 Ti
4.659 1.593 6.848 Ti
0.670 1.072 5.967 Ti
2.221 1.604 8.253 Pb
0.000 0.000 0.000 Pb
```

---

Entry 8:
This record from the Alexandria database describes a relaxed TiIn3Pb crystal. The functional is GGA-PBE.

POSCAR file:
```
TiIn3Pb
1.0
5.360 0.000 0.000
0.000 5.360 0.000
0.000 0.000 5.360
Ti In Pb
1 3 1
Cartesian
0.000 0.000 0.000 Ti
2.680 0.000 0.000 In
0.000 0.000 2.680 In
0.000 2.680 0.000 In
2.680 2.680 2.680 Pb
```

Output
The relative energy among the computed polymorphs is 0.000 eV/atom.

---

| no. | N(E_F) (states/eV/atom) | ΔH_f (0 K) (meV per atom) |
| --- | --- | --- |
| 1 | 0.964 | 190 |
| 2 | 0.412 | 215 |
| 3 | 0.608 | 103 |
| 4 | 1.107 | 90 |
| 5 | 1.220 | 51 |
| 6 | 1.249 | 22 |
| 7 | 0.842 | 269 |
| 8 | 0.637 | 396 |